1.
A plane-wave DFT calculation with PBE-GGA was carried out for a relaxed structure of Ac2ThF.

a = 11.3000 Å, b = 11.3000 Å, c = 11.3000 Å
α = 18.57°, β = 18.57°, γ = 18.57°
Fractional coordinates of all 4 atoms:
1 Ac 0.1078 0.1078 0.1078
2 Ac 0.8922 0.8922 0.8922
3 Th 0.0000 0.0000 0.0000
4 F 0.5000 0.5000 0.5000

Results
**ΔE_f (raw)**: -3.1 eV/f.u.
**Spin magnetization**: 0.00 μB/f.u.
**DOS at the Fermi energy**: 4.5 states/eV/f.u.

=====

2.
A plane-wave DFT calculation with PBE-GGA was carried out for a relaxed structure of Na2TlInO.

a = 4.7338 Å, b = 4.7338 Å, c = 4.7883 Å
α = 90.00°, β = 90.00°, γ = 90.00°
Fractional coordinates of all 5 atoms:
1 Na 0.0000 0.5000 0.0000
2 Na 0.5000 0.0000 0.0000
3 Tl 0.0000 0.0000 0.5000
4 In 0.5000 0.5000 0.5000
5 O 0.5000 0.5000 0.0000

Results
**ΔE_f (raw)**: -2.9 eV/f.u.
**Spin magnetization**: 0.00 μB/f.u.
**Distance to the lowest polymorph of the same formula**: 0.0 kJ/mol of atoms
**DOS at the Fermi energy**: 3.7 states/eV/f.u.

=====

3.
A plane-wave DFT calculation with PBE-GGA was carried out for a relaxed structure of Th5PtSe5.

a = 7.2941 Å, b = 7.2941 Å, c = 8.3808 Å
α = 106.85°, β = 106.85°, γ = 48.04°
Fractional coordinates of all 11 atoms:
1 Th 0.0000 0.0000 0.0000
2 Th 0.3354 0.3354 0.1632
3 Th 0.3379 0.3379 0.6742
4 Th 0.6621 0.6621 0.3258
5 Th 0.6646 0.6646 0.8368
6 Pt 0.5000 0.5000 0.0000
7 Se 0.1603 0.1603 0.8198
8 Se 0.1662 0.1662 0.3403
9 Se 0.5000 0.5000 0.5000
10 Se 0.8338 0.8338 0.6597
11 Se 0.8397 0.8397 0.1802

Results
**ΔE_f (raw)**: -16.9 eV/f.u.
**Spin magnetization**: 0.00 μB/f.u.
**DOS at the Fermi energy**: 7.3 states/eV/f.u.

=====

4.
A plane-wave DFT calculation with PBE-GGA was carried out for a relaxed structure of Al3AgHg.

a = 4.9297 Å, b = 4.9297 Å, c = 4.9297 Å
α = 90.00°, β = 90.00°, γ = 90.00°
Fractional coordinates of all 5 atoms:
1 Al 0.0000 0.0000 0.5000
2 Al 0.0000 0.5000 0.0000
3 Al 0.5000 0.0000 0.0000
4 Ag 0.0000 0.0000 0.0000
5 Hg 0.5000 0.5000 0.5000

Results
**Spin magnetization**: 0.00 μB/f.u.
**Distance to the lowest polymorph of the same formula**: 0.0 kJ/mol of atoms
**Formation energy from the elements**: 0.43 eV/atom
**DOS at the Fermi energy**: 3.0 states/eV/f.u.

=====

5.
A plane-wave DFT calculation with PBE-GGA was carried out for a relaxed structure of TcAg2Ru.

a = 9.5973 Å, b = 9.5973 Å, c = 9.5973 Å
α = 16.77°, β = 16.77°, γ = 16.77°
Fractional coordinates of all 4 atoms:
1 Tc 0.0000 0.0000 0.0000
2 Ag 0.5092 0.5092 0.5092
3 Ag 0.7542 0.7542 0.7542
4 Ru 0.2629 0.2629 0.2629

Results
**Spin magnetization**: 0.52 μB/f.u.
**Distance to the lowest polymorph of the same formula**: 0.0 kJ/mol of atoms
**Formation energy from the elements**: 0.23 eV/atom
**DOS at the Fermi energy**: 4.9 states/eV/f.u.

=====

6.
A plane-wave DFT calculation with PBE-GGA was carried out for a relaxed structure of LaMoSe2.

a = 4.8950 Å, b = 4.8950 Å, c = 3.5213 Å
α = 90.00°, β = 90.00°, γ = 90.00°
Fractional coordinates of all 4 atoms:
1 La 0.0000 0.0000 0.0000
2 Mo 0.5000 0.5000 0.0000
3 Se 0.0000 0.5000 0.5000
4 Se 0.5000 0.0000 0.5000

Results
**ΔE_f (raw)**: -2.5 eV/f.u.
**Spin magnetization**: 1.60 μB/f.u.
**Distance to the lowest polymorph of the same formula**: 25.4 kJ/mol of atoms
**DOS at the Fermi energy**: 3.4 states/eV/f.u.

=====

7.
A plane-wave DFT calculation with PBE-GGA was carried out for a relaxed structure of HgTe2P.

a = 3.9600 Å, b = 3.9749 Å, c = 8.6202 Å
α = 90.00°, β = 90.00°, γ = 90.00°
Fractional coordinates of all 4 atoms:
1 Hg 0.0000 0.0000 0.0000
2 Te 0.0000 0.5000 0.5000
3 Te 0.5000 0.5000 0.0000
4 P 0.5000 0.0000 0.5000

Results
**ΔE_f (raw)**: 1.6 eV/f.u.
**Spin magnetization**: 0.22 μB/f.u.
**Distance to the lowest polymorph of the same formula**: 25.8 kJ/mol of atoms
**DOS at the Fermi energy**: 3.0 states/eV/f.u.

=====

8.
A plane-wave DFT calculation with PBE-GGA was carried out for a relaxed structure of Nd4UP5.

a = 7.1218 Å, b = 7.1218 Å, c = 7.1218 Å
α = 99.61°, β = 99.61°, γ = 131.78°
Fractional coordinates of all 10 atoms:
1 Nd 0.0972 0.6995 0.7967
2 Nd 0.3005 0.0972 0.3977
3 Nd 0.6995 0.9028 0.6023
4 Nd 0.9028 0.3005 0.2033
5 U 0.5000 0.5000 0.0000
6 P 0.0000 0.0000 0.0000
7 P 0.2135 0.4053 0.6188
8 P 0.4053 0.7865 0.1918
9 P 0.5947 0.2135 0.8082
10 P 0.7865 0.5947 0.3812

Results
**Spin magnetization**: 1.94 μB/f.u.
**Formation energy from the elements**: -1.42 eV/atom
**DOS at the Fermi energy**: 8.0 states/eV/f.u.

=====

9.
A plane-wave DFT calculation with PBE-GGA was carried out for a relaxed structure of Ba2TiTcO6.

a = 5.7384 Å, b = 5.7384 Å, c = 5.7384 Å
α = 60.00°, β = 60.00°, γ = 60.00°
Fractional coordinates of all 10 atoms:
1 Ba 0.2500 0.2500 0.2500
2 Ba 0.7500 0.7500 0.7500
3 Ti 0.0000 0.0000 0.0000
4 Tc 0.5000 0.5000 0.5000
5 O 0.2477 0.2477 0.7523
6 O 0.2477 0.7523 0.2477
7 O 0.2477 0.7523 0.7523
8 O 0.7523 0.2477 0.2477
9 O 0.7523 0.2477 0.7523
10 O 0.7523 0.7523 0.2477

Results
**ΔE_f (raw)**: -25.4 eV/f.u.
**Spin magnetization**: 2.67 μB/f.u.
**DOS at the Fermi energy**: 2.7 states/eV/f.u.

=====

10.
A plane-wave DFT calculation with PBE-GGA was carried out for a relaxed structure of Er2TmH8.

a = 6.2005 Å, b = 6.2005 Å, c = 6.2005 Å
α = 146.44°, β = 132.01°, γ = 59.83°
Fractional coordinates of all 11 atoms:
1 Er 0.1678 0.1678 0.0000
2 Er 0.8322 0.8322 0.0000
3 Tm 0.5000 0.5000 0.0000
4 H 0.0803 0.3390 0.7414
5 H 0.2324 0.0000 0.2324
6 H 0.3421 0.8421 0.5000
7 H 0.4024 0.6610 0.7414
8 H 0.5976 0.3390 0.2586
9 H 0.6579 0.1579 0.5000
10 H 0.7676 0.0000 0.7676
11 H 0.9197 0.6610 0.2586

Results
**VASP energy**: -4.30 eV/atom
**Spin magnetization**: 0.00 μB/f.u.
**DOS at the Fermi energy**: 1.1 states/eV/f.u.

=====

11.
A plane-wave DFT calculation with PBE-GGA was carried out for a relaxed structure of GdY3Cl.

a = 5.3056 Å, b = 5.3056 Å, c = 5.3056 Å
α = 90.00°, β = 90.00°, γ = 90.00°
Fractional coordinates of all 5 atoms:
1 Gd 0.0000 0.0000 0.0000
2 Y 0.0000 0.5000 0.5000
3 Y 0.5000 0.0000 0.5000
4 Y 0.5000 0.5000 0.0000
5 Cl 0.5000 0.5000 0.5000

Results
**ΔE_f (raw)**: -2.3 eV/f.u.
**Spin magnetization**: 7.50 μB/f.u.
**DOS at the Fermi energy**: 6.6 states/eV/f.u.

=====

12.
A plane-wave DFT calculation with PBE-GGA was carried out for a relaxed structure of NaSr3Ir.

a = 14.5578 Å, b = 14.5578 Å, c = 14.5578 Å
α = 156.02°, β = 156.02°, γ = 34.18°
Fractional coordinates of all 10 atoms:
1 Na 0.0000 0.0000 0.0000
2 Na 0.7500 0.2500 0.5000
3 Sr 0.3052 0.3052 0.0000
4 Sr 0.3667 0.1284 0.2383
5 Sr 0.6948 0.6948 0.0000
6 Sr 0.8716 0.1098 0.2383
7 Sr 0.8716 0.6333 0.7617
8 Sr 0.8902 0.1284 0.7617
9 Ir 0.1493 0.6493 0.5000
10 Ir 0.3507 0.8507 0.5000

Results
**Spin magnetization**: 0.00 μB/f.u.
**Distance to the lowest polymorph of the same formula**: 93.9 kJ/mol of atoms
**Formation energy from the elements**: 0.85 eV/atom
**DOS at the Fermi energy**: 5.9 states/eV/f.u.

=====

13.
A plane-wave DFT calculation with PBE-GGA was carried out for a relaxed structure of PmErInSn.

a = 5.3768 Å, b = 5.3768 Å, c = 5.3768 Å
α = 60.00°, β = 60.00°, γ = 60.00°
Fractional coordinates of all 4 atoms:
1 Pm 0.0000 0.0000 0.0000
2 Er 0.5000 0.5000 0.5000
3 In 0.7500 0.7500 0.7500
4 Sn 0.2500 0.2500 0.2500

Results
**Spin magnetization**: 0.00 μB/f.u.
**Distance to the lowest polymorph of the same formula**: 5.0 kJ/mol of atoms
**Formation energy from the elements**: -0.50 eV/atom
**DOS at the Fermi energy**: 3.3 states/eV/f.u.

=====

14.
A plane-wave DFT calculation with PBE-GGA was carried out for a relaxed structure of SiSbC.

a = 5.2545 Å, b = 3.1681 Å, c = 8.0566 Å
α = 90.00°, β = 104.70°, γ = 90.00°
Fractional coordinates of all 6 atoms:
1 Si 0.1634 0.0000 0.4200
2 Si 0.8366 0.0000 0.5800
3 Sb 0.1694 0.0000 0.8873
4 Sb 0.8306 0.0000 0.1127
5 C 0.3649 0.5000 0.4680
6 C 0.6351 0.5000 0.5320

Results
**ΔE_f (raw)**: 0.9 eV/f.u.
**Spin magnetization**: 0.00 μB/f.u.
**Distance to the lowest polymorph of the same formula**: 22.9 kJ/mol of atoms
**DOS at the Fermi energy**: 0.8 states/eV/f.u.

=====

15.
A plane-wave DFT calculation with PBE-GGA was carried out for a relaxed structure of LiNp6S8.

a = 7.7614 Å, b = 7.7614 Å, c = 7.7614 Å
α = 60.00°, β = 60.00°, γ = 60.00°
Fractional coordinates of all 15 atoms:
1 Li 0.0000 0.0000 0.0000
2 Np 0.0000 0.0000 0.5000
3 Np 0.0000 0.5000 0.0000
4 Np 0.0000 0.5000 0.5000
5 Np 0.5000 0.0000 0.0000
6 Np 0.5000 0.0000 0.5000
7 Np 0.5000 0.5000 0.0000
8 S 0.2465 0.2465 0.7535
9 S 0.2465 0.7535 0.2465
10 S 0.2465 0.7535 0.7535
11 S 0.2500 0.2500 0.2500
12 S 0.7500 0.7500 0.7500
13 S 0.7535 0.2465 0.2465
14 S 0.7535 0.2465 0.7535
15 S 0.7535 0.7535 0.2465

Results
**ΔE_f (raw)**: -20.5 eV/f.u.
**Spin magnetization**: 24.20 μB/f.u.
**DOS at the Fermi energy**: 44.9 states/eV/f.u.

=====

16.
A plane-wave DFT calculation with PBE-GGA was carried out for a relaxed structure of RbBa2CoSi.

a = 6.5599 Å, b = 6.5599 Å, c = 4.4747 Å
α = 90.00°, β = 90.00°, γ = 90.00°
Fractional coordinates of all 5 atoms:
1 Rb 0.0000 0.0000 0.0000
2 Ba 0.0000 0.5000 0.5000
3 Ba 0.5000 0.0000 0.5000
4 Co 0.5000 0.5000 0.0000
5 Si 0.5000 0.5000 0.5000

Results
**ΔE_f (raw)**: 1.3 eV/f.u.
**Spin magnetization**: 0.00 μB/f.u.
**DOS at the Fermi energy**: 6.0 states/eV/f.u.

=====

17.
A plane-wave DFT calculation with PBE-GGA was carried out for a relaxed structure of Zr3TcPt.

a = 4.9313 Å, b = 4.9313 Å, c = 4.9313 Å
α = 90.00°, β = 90.00°, γ = 90.00°
Fractional coordinates of all 5 atoms:
1 Zr 0.0000 0.0000 0.5000
2 Zr 0.0000 0.5000 0.0000
3 Zr 0.5000 0.0000 0.0000
4 Tc 0.0000 0.0000 0.0000
5 Pt 0.5000 0.5000 0.5000

Results
**Spin magnetization**: 0.00 μB/f.u.
**Distance to the lowest polymorph of the same formula**: 96.6 kJ/mol of atoms
**Formation energy from the elements**: 0.44 eV/atom
**DOS at the Fermi energy**: 7.7 states/eV/f.u.

=====

18.
A plane-wave DFT calculation with PBE-GGA was carried out for a relaxed structure of InNi2Os.

a = 2.7952 Å, b = 2.7952 Å, c = 7.1922 Å
α = 90.00°, β = 90.00°, γ = 90.00°
Fractional coordinates of all 4 atoms:
1 In 0.0000 0.0000 0.0000
2 Ni 0.5000 0.5000 0.2694
3 Ni 0.5000 0.5000 0.7306
4 Os 0.0000 0.0000 0.5000

Results
**Spin magnetization**: 0.00 μB/f.u.
**Formation energy from the elements**: 0.18 eV/atom
**DOS at the Fermi energy**: 4.9 states/eV/f.u.

=====

19.
A plane-wave DFT calculation with PBE-GGA was carried out for a relaxed structure of Ca3As2Pd2.

a = 5.6861 Å, b = 8.0370 Å, c = 13.3669 Å
α = 90.00°, β = 90.00°, γ = 90.00°
Fractional coordinates of all 28 atoms:
1 Ca 0.1291 0.0975 0.1034
2 Ca 0.1291 0.0975 0.3966
3 Ca 0.1291 0.4025 0.6034
4 Ca 0.1291 0.4025 0.8966
5 Ca 0.3545 0.7300 0.2500
6 Ca 0.3545 0.7700 0.7500
7 Ca 0.6455 0.2300 0.2500
8 Ca 0.6455 0.2700 0.7500
9 Ca 0.8709 0.5975 0.1034
10 Ca 0.8709 0.5975 0.3966
11 Ca 0.8709 0.9025 0.6034
12 Ca 0.8709 0.9025 0.8966
13 As 0.1487 0.1177 0.7500
14 As 0.1487 0.3823 0.2500
15 As 0.3007 0.7500 0.0000
16 As 0.3007 0.7500 0.5000
17 As 0.6993 0.2500 0.0000
18 As 0.6993 0.2500 0.5000
19 As 0.8513 0.6177 0.7500
20 As 0.8513 0.8823 0.2500
21 Pd 0.3906 0.0589 0.5897
22 Pd 0.3906 0.0589 0.9103
23 Pd 0.3906 0.4411 0.0897
24 Pd 0.3906 0.4411 0.4103
25 Pd 0.6094 0.5589 0.5897
26 Pd 0.6094 0.5589 0.9103
27 Pd 0.6094 0.9411 0.0897
28 Pd 0.6094 0.9411 0.4103

Results
**Spin magnetization**: 0.00 μB/f.u.
**Formation energy from the elements**: -0.97 eV/atom
**DOS at the Fermi energy**: 1.8 states/eV/f.u.

=====

20.
A plane-wave DFT calculation with PBE-GGA was carried out for a relaxed structure of NaCuB2H8.

a = 4.4283 Å, b = 4.4283 Å, c = 6.3900 Å
α = 90.22°, β = 90.22°, γ = 59.98°
Fractional coordinates of all 12 atoms:
1 Na 0.0000 0.0000 0.0000
2 Cu 0.0000 0.0000 0.5000
3 B 0.3344 0.3344 0.2516
4 B 0.6656 0.6656 0.7484
5 H 0.1834 0.1834 0.3209
6 H 0.1838 0.6390 0.3187
7 H 0.3329 0.3329 0.0601
8 H 0.3610 0.8162 0.6813
9 H 0.6390 0.1838 0.3187
10 H 0.6671 0.6671 0.9399
11 H 0.8162 0.3610 0.6813
12 H 0.8166 0.8166 0.6792

Results
**VASP energy**: -3.90 eV/atom
**Spin magnetization**: 0.00 μB/f.u.
**DOS at the Fermi energy**: 0.0 states/eV/f.u.